The following is a PBE-GGA calculation of an optimized crystal structure of ScPaZnGa, from Alexandria via LeMat-Bulk.

energy relative to the elements = -21.8 kJ/mol of atoms

a = 6.9192 Å, b = 6.9192 Å, c = 6.9192 Å
α = 90.00°, β = 90.00°, γ = 90.00°
Space group F-43m (No. 216)
Unique sites:
Sc 0.0000 0.0000 0.0000 x4
Pa 0.0000 0.0000 0.5000 x4
Zn 0.2500 0.2500 0.2500 x4
Ga 0.2500 0.2500 0.7500 x4

---

The following is a PBE-GGA calculation of an optimized crystal structure of Ac4InPd, from Alexandria via LeMat-Bulk.

offset from the most stable computed form = 133 meV/atom
energy relative to the elements = -28.1 kJ/mol of atoms

a = 5.7986 Å, b = 22.4007 Å, c = 7.1754 Å
α = 90.00°, β = 90.00°, γ = 90.00°
Space group Cmc2_1 (No. 36)
Unique sites:
Ac 0.0000 0.0491 0.0000 x4
Ac 0.0000 0.1955 0.2621 x4
Ac 0.0000 0.2030 0.7730 x4
Ac 0.0000 0.4027 0.0212 x4
In 0.0000 0.3457 0.5146 x4
Pd 0.0000 0.0849 0.5266 x4

---

The following is a PBE-GGA calculation of an optimized crystal structure of ZrTlCl2, from Alexandria via LeMat-Bulk.

offset from the most stable computed form = 749 meV/atom
uncorrected formation energy = -31.7 kJ/mol of atoms

a = 5.3234 Å, b = 5.3234 Å, c = 3.3602 Å
α = 90.00°, β = 90.00°, γ = 90.00°
Space group P4/mmm (No. 123)
Unique sites:
Zr 0.0000 0.0000 0.0000 x1
Tl 0.5000 0.5000 0.0000 x1
Cl 0.0000 0.5000 0.5000 x2